Entry 1:
The following is a DFT calculation (PBE-GGA) of a relaxed Na2TlIn3Cl6 crystal.

Properties
For the total energy, the calculation gives -3.18 eV/atom. As for the space group: C2/m (12). Its total magnetic moment is 0.00 μB/atom.

Cell: 9.9232 9.9232 8.9127 Å, 103.40 103.40 25.20°
With the nearest neighbours (Å) after each atom.
Atoms (fractional coordinates):
Na (0.1728, 0.1728, 0.3390)  6 Cl 2.78-2.98
Na (0.8272, 0.8272, 0.6610)  6 Cl 2.78-2.98
Tl (0.5000, 0.5000, 0.0000)  6 Cl 3.16-3.37
In (0.1683, 0.1683, 0.8193)  3 Cl 2.88-3.13
In (0.5000, 0.5000, 0.5000)  6 Cl 3.12-3.34
In (0.8317, 0.8317, 0.1807)  3 Cl 2.88-3.13
Cl (0.0251, 0.0251, 0.2659)  1 Na 2.78
Cl (0.3213, 0.3213, 0.8815)  1 In 2.88, 2 Na 2.94
Cl (0.3228, 0.3228, 0.4291)  3 Na 2.82-2.98, 2 In 3.13
Cl (0.6772, 0.6772, 0.5709)  3 Na 2.82-2.98, 2 In 3.13
Cl (0.6787, 0.6787, 0.1185)  1 In 2.88, 2 Na 2.94
Cl (0.9749, 0.9749, 0.7341)  1 Na 2.78

Entry 2:
The following is a DFT calculation (PBE-GGA) of a relaxed DySc2Pa crystal.

Properties
As for the space group: P4/mmm (123). The offset from the most stable computed form is 34 meV/atom. Its energy relative to the elements is 0.106 eV per atom. Its total magnetic moment is 0.07 μB/atom.

Cell: 3.3141 3.3141 9.5398 Å, 90.00 90.00 90.00°
With the nearest neighbours (Å) after each atom.
Atoms (fractional coordinates):
Dy (0.0000, 0.0000, 0.0000)  4 Dy 3.31, 8 Sc 3.45
Sc (0.5000, 0.5000, 0.2656)  4 Pa 3.24, 4 Sc 3.31, 4 Dy 3.45
Sc (0.5000, 0.5000, 0.7344)  4 Pa 3.24, 4 Sc 3.31, 4 Dy 3.45
Pa (0.0000, 0.0000, 0.5000)  8 Sc 3.24, 4 Pa 3.31

Look up the total magnetic moment of the first one.
0.00 μB/atom

Please write out number 1 again, unchanged.
The following is a DFT calculation (PBE-GGA) of a relaxed Na2TlIn3Cl6 crystal.

Properties
For the total energy, the calculation gives -3.18 eV/atom. As for the space group: C2/m (12). Its total magnetic moment is 0.00 μB/atom.

Cell: 9.9232 9.9232 8.9127 Å, 103.40 103.40 25.20°
With the nearest neighbours (Å) after each atom.
Atoms (fractional coordinates):
Na (0.1728, 0.1728, 0.3390)  6 Cl 2.78-2.98
Na (0.8272, 0.8272, 0.6610)  6 Cl 2.78-2.98
Tl (0.5000, 0.5000, 0.0000)  6 Cl 3.16-3.37
In (0.1683, 0.1683, 0.8193)  3 Cl 2.88-3.13
In (0.5000, 0.5000, 0.5000)  6 Cl 3.12-3.34
In (0.8317, 0.8317, 0.1807)  3 Cl 2.88-3.13
Cl (0.0251, 0.0251, 0.2659)  1 Na 2.78
Cl (0.3213, 0.3213, 0.8815)  1 In 2.88, 2 Na 2.94
Cl (0.3228, 0.3228, 0.4291)  3 Na 2.82-2.98, 2 In 3.13
Cl (0.6772, 0.6772, 0.5709)  3 Na 2.82-2.98, 2 In 3.13
Cl (0.6787, 0.6787, 0.1185)  1 In 2.88, 2 Na 2.94
Cl (0.9749, 0.9749, 0.7341)  1 Na 2.78

Copy entry 1 word for word.
The following is a DFT calculation (PBE-GGA) of a relaxed Na2TlIn3Cl6 crystal.

Properties
For the total energy, the calculation gives -3.18 eV/atom. As for the space group: C2/m (12). Its total magnetic moment is 0.00 μB/atom.

Cell: 9.9232 9.9232 8.9127 Å, 103.40 103.40 25.20°
With the nearest neighbours (Å) after each atom.
Atoms (fractional coordinates):
Na (0.1728, 0.1728, 0.3390)  6 Cl 2.78-2.98
Na (0.8272, 0.8272, 0.6610)  6 Cl 2.78-2.98
Tl (0.5000, 0.5000, 0.0000)  6 Cl 3.16-3.37
In (0.1683, 0.1683, 0.8193)  3 Cl 2.88-3.13
In (0.5000, 0.5000, 0.5000)  6 Cl 3.12-3.34
In (0.8317, 0.8317, 0.1807)  3 Cl 2.88-3.13
Cl (0.0251, 0.0251, 0.2659)  1 Na 2.78
Cl (0.3213, 0.3213, 0.8815)  1 In 2.88, 2 Na 2.94
Cl (0.3228, 0.3228, 0.4291)  3 Na 2.82-2.98, 2 In 3.13
Cl (0.6772, 0.6772, 0.5709)  3 Na 2.82-2.98, 2 In 3.13
Cl (0.6787, 0.6787, 0.1185)  1 In 2.88, 2 Na 2.94
Cl (0.9749, 0.9749, 0.7341)  1 Na 2.78

What is the total magnetic moment in the second record?
0.07 μB/atom